Entry 1:
The following is a SCAN calculation of a PBEsol-optimized structure of Bi2TePd2, from the Alexandria database.

The structure belongs to space group P4/mbm (No. 127); the cell edges are 7.5477, 7.5477 and 3.9251 Å and the angles 90.00°, 90.00° and 90.00°. The distinct sites, in fractional coordinates, are Bi at (0.1570, 0.3430, 0.0000), Te at (0.0000, 0.0000, 0.5000) and Pd at (0.1318, 0.6318, 0.5000).

The value obtained for the uncorrected formation energy is -11.3 kJ/mol of atoms. The value obtained for the total magnetic moment is 0.000 μB per atom. The total energy is -52.11 eV/atom.

Entry 2:
The following is a SCAN calculation of a PBEsol-optimized structure of TlBiPd3, from the Alexandria database.

The structure belongs to space group Pm-3m (No. 221); the cell edges are 4.9305, 4.9305 and 4.9305 Å and the angles 90.00°, 90.00° and 90.00°. The distinct sites, in fractional coordinates, are Tl at (0.0000, 0.0000, 0.0000), Bi at (0.5000, 0.5000, 0.5000) and Pd at (0.0000, 0.0000, 0.5000).

For the formation energy, the calculation gives 306 kJ/mol of formula units. The value obtained for the total magnetic moment is 0.000 μB per atom. The total energy is -49.22 eV/atom.

Entry 3:
The following is a SCAN calculation of a PBEsol-optimized structure of TmBiPd, from the Alexandria database.

The structure belongs to space group F-43m (No. 216); the cell edges are 6.5712, 6.5712 and 6.5712 Å and the angles 90.00°, 90.00° and 90.00°. The distinct sites, in fractional coordinates, are Tm at (0.0000, 0.0000, 0.0000), Bi at (0.0000, 0.0000, 0.5000) and Pd at (0.2500, 0.2500, 0.2500).

For the formation energy, the calculation gives -316 kJ/mol of formula units. The value obtained for the total magnetic moment is 0.000 μB per atom. The total energy is -55.49 eV/atom.

Entry 4:
The following is a SCAN calculation of a PBEsol-optimized structure of BiPdW3, from the Alexandria database.

The structure belongs to space group Pm-3m (No. 221); the cell edges are 4.7500, 4.7500 and 4.7500 Å and the angles 90.00°, 90.00° and 90.00°. The distinct sites, in fractional coordinates, are Bi at (0.0000, 0.0000, 0.0000), Pd at (0.5000, 0.5000, 0.5000) and W at (0.0000, 0.5000, 0.5000).

For the formation energy, the calculation gives 1137 kJ/mol of formula units. The value obtained for the total magnetic moment is 0.000 μB per atom. The total energy is -61.73 eV/atom.

Which value of total magnetic moment does entry 2 give?
0.000 μB per atom

Copy entry 1 word for word.
The following is a SCAN calculation of a PBEsol-optimized structure of Bi2TePd2, from the Alexandria database.

The structure belongs to space group P4/mbm (No. 127); the cell edges are 7.5477, 7.5477 and 3.9251 Å and the angles 90.00°, 90.00° and 90.00°. The distinct sites, in fractional coordinates, are Bi at (0.1570, 0.3430, 0.0000), Te at (0.0000, 0.0000, 0.5000) and Pd at (0.1318, 0.6318, 0.5000).

The value obtained for the uncorrected formation energy is -11.3 kJ/mol of atoms. The value obtained for the total magnetic moment is 0.000 μB per atom. The total energy is -52.11 eV/atom.

Copy entry 1 word for word.
The following is a SCAN calculation of a PBEsol-optimized structure of Bi2TePd2, from the Alexandria database.

The structure belongs to space group P4/mbm (No. 127); the cell edges are 7.5477, 7.5477 and 3.9251 Å and the angles 90.00°, 90.00° and 90.00°. The distinct sites, in fractional coordinates, are Bi at (0.1570, 0.3430, 0.0000), Te at (0.0000, 0.0000, 0.5000) and Pd at (0.1318, 0.6318, 0.5000).

The value obtained for the uncorrected formation energy is -11.3 kJ/mol of atoms. The value obtained for the total magnetic moment is 0.000 μB per atom. The total energy is -52.11 eV/atom.